# 1
A relaxed structure of Cu2PtPb. Source: Alexandria via LeMat-Bulk, functional PBE-GGA.

It has space group P2/m (No. 10), with a = 3.151 Å, b = 3.521 Å, c = 6.111 Å, α = 90.00°, β = 90.23° and γ = 90.00°. The inequivalent atoms are Cu at (0.000, 0.000, 0.205), Pt at (0.500, 0.500, 0.000) and Pb at (0.500, 0.500, 0.500).

As for the formation enthalpy at 0 K: 70 meV per atom. As for the density of states at the Fermi level: 1.691 states/eV/f.u. As for the uncorrected energy: -4.4152 eV/atom.



# 2
A relaxed structure of CsPuBeSe3. Source: Alexandria via LeMat-Bulk, functional PBE-GGA.

It has space group P2_1/m (No. 11), with a = 9.967 Å, b = 4.103 Å, c = 9.969 Å, α = 90.00°, β = 111.48° and γ = 90.00°. The inequivalent atoms are Cs at (0.211, 0.250, 0.241), Pu at (0.329, 0.750, 0.850), Be at (0.077, 0.250, 0.606), Se at (0.120, 0.250, 0.840), Se at (0.160, 0.750, 0.533) and Se at (0.473, 0.750, 0.159).

The energy relative to the elements, uncorrected is -1.200 eV per atom. As for the density of states at the Fermi level: 10.571 states/eV/f.u. As for the uncorrected energy: -6.0946 eV/atom.



# 3
A relaxed structure of Ca2ScIn. Source: Alexandria via LeMat-Bulk, functional PBE-GGA.

It has space group I-4m2 (No. 119), with a = 5.459 Å, b = 5.459 Å, c = 7.673 Å, α = 90.00°, β = 90.00° and γ = 90.00°. The inequivalent atoms are Ca at (0.000, 0.000, 0.000), Ca at (0.000, 0.500, 0.250), Sc at (0.000, 0.000, 0.500) and In at (0.000, 0.500, 0.750).

As for the formation enthalpy at 0 K: -107 meV per atom. As for the density of states at the Fermi level: 3.955 states/eV/f.u. As for the uncorrected energy: -3.3755 eV/atom.



# 4
A relaxed structure of Tb2Y3Ag3. Source: Alexandria via LeMat-Bulk, functional PBE-GGA.

It has space group Immm (No. 71), with a = 3.688 Å, b = 5.262 Å, c = 21.580 Å, α = 90.00°, β = 90.00° and γ = 90.00°. The inequivalent atoms are Tb at (0.000, 0.000, 0.231), Y at (0.000, 0.000, 0.000), Y at (0.000, 0.500, 0.120), Ag at (0.000, 0.000, 0.500) and Ag at (0.000, 0.500, 0.383).

As for the formation enthalpy at 0 K: -227 meV per atom. As for the density of states at the Fermi level: 7.034 states/eV/f.u. As for the uncorrected energy: -4.8779 eV/atom.



- Among the records above, which one has the lowest uncorrected energy?
  CsPuBeSe3



- What is the uncorrected energy in the fourth record?
  -4.8779 eV/atom



- Among the records above, which one has the lowest uncorrected energy?
  CsPuBeSe3